# 1
## Mg2OsSe (PBEsol)

Data for Mg2OsSe after structural relaxation. Values from VASP.

The structure in Quantum ESPRESSO input format:
```
&SYSTEM
  ibrav = 0, nat = 4, ntyp = 3
/
ATOMIC_SPECIES
Mg 24.30 Mg.upf
Os 190.23 Os.upf
Se 78.96 Se.upf
ATOMIC_POSITIONS crystal
Mg 0.000 0.000 0.765
Mg 0.000 0.000 0.235
Os 0.500 0.500 0.000
Se 0.500 0.500 0.500
CELL_PARAMETERS angstrom
3.359 0.000 0.000
0.000 3.359 0.000
0.000 0.000 5.800
```

Computed properties:
* space group: P4/mmm (123)
* raw formation energy: -0.898 kcal/mol of atoms
* Fermi-level density of states: 2.633 states/eV per cell

# 2
## Mg2OsSe (PBEsol)

Data for Mg2OsSe after structural relaxation. Values from VASP.

The structure in Quantum ESPRESSO input format:
```
&SYSTEM
  ibrav = 0, nat = 4, ntyp = 3
/
ATOMIC_SPECIES
Mg 24.30 Mg.upf
Os 190.23 Os.upf
Se 78.96 Se.upf
ATOMIC_POSITIONS crystal
Mg 0.000 0.000 0.991
Mg 0.500 0.500 0.289
Os 0.000 0.000 0.526
Se 0.500 0.500 0.694
CELL_PARAMETERS angstrom
3.034 0.000 0.000
0.000 3.034 0.000
0.000 0.000 7.970
```

Computed properties:
* space group: P4mm (99)
* raw formation energy: 1.907 kcal/mol of atoms
* Fermi-level density of states: 1.601 states/eV per cell

# 3
## Mg2SiOs (PBEsol)

Data for Mg2SiOs after structural relaxation. Values from VASP.

The structure in Quantum ESPRESSO input format:
```
&SYSTEM
  ibrav = 0, nat = 4, ntyp = 3
/
ATOMIC_SPECIES
Mg 24.30 Mg.upf
Os 190.23 Os.upf
Si 28.09 Si.upf
ATOMIC_POSITIONS crystal
Mg 0.000 0.000 0.761
Mg 0.000 0.000 0.239
Os 0.500 0.500 0.000
Si 0.500 0.500 0.500
CELL_PARAMETERS angstrom
2.760 0.000 0.000
0.000 2.760 0.000
0.000 0.000 8.357
```

Computed properties:
* space group: P4/mmm (123)
* raw formation energy: 5.310 kcal/mol of atoms
* Fermi-level density of states: 3.301 states/eV per cell

# 4
## Mg2Si2Os (PBEsol)

Data for Mg2Si2Os after structural relaxation. Values from VASP.

The structure in Quantum ESPRESSO input format:
```
&SYSTEM
  ibrav = 0, nat = 10, ntyp = 3
/
ATOMIC_SPECIES
Si 28.09 Si.upf
Os 190.23 Os.upf
Mg 24.30 Mg.upf
ATOMIC_POSITIONS crystal
Si 0.000 0.367 0.867
Si 0.000 0.867 0.633
Si 0.000 0.633 0.133
Si 0.000 0.133 0.367
Os 0.000 0.000 0.000
Os 0.000 0.500 0.500
Mg 0.500 0.177 0.677
Mg 0.500 0.677 0.823
Mg 0.500 0.823 0.323
Mg 0.500 0.323 0.177
CELL_PARAMETERS angstrom
4.032 0.000 0.000
0.000 6.277 0.000
0.000 0.000 6.277
```

Computed properties:
* space group: P4/mbm (127)
* raw formation energy: -4.960 kcal/mol of atoms
* Fermi-level density of states: 5.040 states/eV per cell

# 5
## SrMg2Os (PBEsol)

Data for SrMg2Os after structural relaxation. Values from VASP.

The structure in Quantum ESPRESSO input format:
```
&SYSTEM
  ibrav = 0, nat = 4, ntyp = 3
/
ATOMIC_SPECIES
Mg 24.30 Mg.upf
Os 190.23 Os.upf
Sr 87.62 Sr.upf
ATOMIC_POSITIONS crystal
Mg 0.000 0.000 0.000
Mg 0.750 0.750 0.750
Os 0.500 0.500 0.500
Sr 0.250 0.250 0.250
CELL_PARAMETERS angstrom
-2.613 -0.842 -4.079
-2.565 -4.170 -0.459
-4.913 0.105 0.163
```

Computed properties:
* space group: F-43m (216)
* Fermi-level density of states: 0.388 states/eV per cell
* energy of formation: 0.500 eV per atom

# 6
## Sr3MgOs (PBEsol)

Data for Sr3MgOs after structural relaxation. Values from VASP.

The structure in Quantum ESPRESSO input format:
```
&SYSTEM
  ibrav = 0, nat = 5, ntyp = 3
/
ATOMIC_SPECIES
Sr 87.62 Sr.upf
Mg 24.30 Mg.upf
Os 190.23 Os.upf
ATOMIC_POSITIONS crystal
Sr 0.000 0.500 0.000
Sr 0.000 0.000 0.500
Sr 0.500 0.000 0.000
Mg 0.000 0.000 0.000
Os 0.500 0.500 0.500
CELL_PARAMETERS angstrom
-2.412 4.905 -2.257
-5.276 -2.666 -0.157
-1.148 1.950 5.464
```

Computed properties:
* space group: Pm-3m (221)
* Fermi-level density of states: 7.394 states/eV per cell
* energy of formation: 1.533 eV per atom

# 7
## SrMg2Os (PBEsol)

Data for SrMg2Os after structural relaxation. Values from VASP.

The structure in Quantum ESPRESSO input format:
```
&SYSTEM
  ibrav = 0, nat = 4, ntyp = 3
/
ATOMIC_SPECIES
Mg 24.30 Mg.upf
Os 190.23 Os.upf
Sr 87.62 Sr.upf
ATOMIC_POSITIONS crystal
Mg 0.800 0.800 0.600
Mg 0.200 0.200 0.400
Os 0.500 0.000 0.000
Sr 0.000 0.500 0.000
CELL_PARAMETERS angstrom
-0.463 -0.604 -3.284
0.845 -5.055 0.811
-5.275 2.115 2.084
```

Computed properties:
* space group: Immm (71)
* Fermi-level density of states: 3.424 states/eV per cell
* energy of formation: 0.395 eV per atom

# 8
## SrMgOs (PBEsol)

Data for SrMgOs after structural relaxation. Values from VASP.

The structure in Quantum ESPRESSO input format:
```
&SYSTEM
  ibrav = 0, nat = 3, ntyp = 3
/
ATOMIC_SPECIES
Mg 24.30 Mg.upf
Os 190.23 Os.upf
Sr 87.62 Sr.upf
ATOMIC_POSITIONS crystal
Mg 0.000 0.000 0.944
Os 0.667 0.333 0.680
Sr 0.333 0.667 0.375
CELL_PARAMETERS angstrom
3.171 0.000 0.000
-1.586 2.746 0.000
0.000 0.000 7.493
```

Computed properties:
* space group: P3m1 (156)
* Fermi-level density of states: 2.918 states/eV per cell
* energy of formation: 0.804 eV per atom

# 9
## SrMg2Os (PBEsol)

Data for SrMg2Os after structural relaxation. Values from VASP.

The structure in Quantum ESPRESSO input format:
```
&SYSTEM
  ibrav = 0, nat = 4, ntyp = 3
/
ATOMIC_SPECIES
Mg 24.30 Mg.upf
Os 190.23 Os.upf
Sr 87.62 Sr.upf
ATOMIC_POSITIONS crystal
Mg 0.990 0.990 0.979
Mg 0.844 0.344 0.688
Os 0.495 0.495 0.990
Sr 0.172 0.672 0.343
CELL_PARAMETERS angstrom
3.059 0.000 0.000
0.000 4.533 0.000
-1.530 -2.267 7.266
```

Computed properties:
* space group: Imm2 (44)
* Fermi-level density of states: 3.351 states/eV per cell
* energy of formation: 0.417 eV per atom

# 10
## SrMg2TeOs (PBEsol)

Data for SrMg2TeOs after structural relaxation. Values from VASP.

The structure in Quantum ESPRESSO input format:
```
&SYSTEM
  ibrav = 0, nat = 5, ntyp = 4
/
ATOMIC_SPECIES
Sr 87.62 Sr.upf
Mg 24.30 Mg.upf
Te 127.60 Te.upf
Os 190.23 Os.upf
ATOMIC_POSITIONS crystal
Sr 0.500 0.500 0.500
Mg 0.000 0.500 0.000
Mg 0.500 0.000 0.000
Te 0.000 0.000 0.500
Os 0.000 0.000 0.000
CELL_PARAMETERS angstrom
-4.668 -1.752 -0.626
0.104 -1.935 4.636
-1.907 4.408 1.883
```

Computed properties:
* space group: P4/mmm (123)
* raw formation energy: 1.319 kcal/mol of atoms
* Fermi-level density of states: 4.271 states/eV per cell

# 11
## Mg2TaOs (PBEsol)

Data for Mg2TaOs after structural relaxation. Values from VASP.

The structure in Quantum ESPRESSO input format:
```
&SYSTEM
  ibrav = 0, nat = 4, ntyp = 3
/
ATOMIC_SPECIES
Mg 24.30 Mg.upf
Os 190.23 Os.upf
Ta 180.95 Ta.upf
ATOMIC_POSITIONS crystal
Mg 0.696 0.000 0.761
Mg 0.304 0.000 0.239
Os 0.500 0.500 0.000
Ta 0.000 0.500 0.500
CELL_PARAMETERS angstrom
-2.635 -0.378 0.668
0.836 -4.517 0.744
2.312 1.196 4.663
```

Computed properties:
* space group: P2/m (10)
* Fermi-level density of states: 2.636 states/eV per cell
* energy of formation: 0.235 eV per atom
* relative energy among the computed polymorphs: 0.226 eV per atom

# 12
## Mg2TaOs (PBEsol)

Data for Mg2TaOs after structural relaxation. Values from VASP.

The structure in Quantum ESPRESSO input format:
```
&SYSTEM
  ibrav = 0, nat = 4, ntyp = 3
/
ATOMIC_SPECIES
Mg 24.30 Mg.upf
Os 190.23 Os.upf
Ta 180.95 Ta.upf
ATOMIC_POSITIONS crystal
Mg 0.500 0.500 0.500
Mg 0.000 0.000 0.500
Os 0.000 0.500 0.000
Ta 0.500 0.000 0.000
CELL_PARAMETERS angstrom
-1.266 1.514 1.853
2.533 -3.609 2.971
3.140 3.899 -2.164
```

Computed properties:
* space group: C2/m (12)
* Fermi-level density of states: 2.445 states/eV per cell
* energy of formation: 0.263 eV per atom
* relative energy among the computed polymorphs: 0.255 eV per atom

# 13
## Mg2TaOs (PBEsol)

Data for Mg2TaOs after structural relaxation. Values from VASP.

The structure in Quantum ESPRESSO input format:
```
&SYSTEM
  ibrav = 0, nat = 4, ntyp = 3
/
ATOMIC_SPECIES
Mg 24.30 Mg.upf
Os 190.23 Os.upf
Ta 180.95 Ta.upf
ATOMIC_POSITIONS crystal
Mg 0.000 0.000 0.990
Mg 0.500 0.500 0.276
Os 0.000 0.000 0.524
Ta 0.500 0.500 0.710
CELL_PARAMETERS angstrom
-0.320 0.700 3.115
3.112 -0.629 0.462
1.541 6.646 -1.336
```

Computed properties:
* space group: P4mm (99)
* Fermi-level density of states: 2.969 states/eV per cell
* energy of formation: 0.009 eV per atom
* relative energy among the computed polymorphs: 0.000 eV per atom

# 14
## MgZrTaOs2 (PBEsol)

Data for MgZrTaOs2 after structural relaxation. Values from VASP.

The structure in Quantum ESPRESSO input format:
```
&SYSTEM
  ibrav = 0, nat = 5, ntyp = 4
/
ATOMIC_SPECIES
Mg 24.30 Mg.upf
Os 190.23 Os.upf
Zr 91.22 Zr.upf
Ta 180.95 Ta.upf
ATOMIC_POSITIONS crystal
Mg 0.000 0.000 0.000
Os 0.000 0.500 0.000
Os 0.500 0.000 0.000
Zr 0.500 0.500 0.500
Ta 0.000 0.000 0.500
CELL_PARAMETERS angstrom
4.481 0.000 0.000
0.000 4.481 0.000
0.000 0.000 4.547
```

Computed properties:
* space group: P4/mmm (123)
* Fermi-level density of states: 6.594 states/eV per cell
* energy of formation: 1.637 eV per atom

# 15
## Mg3TiOs (PBEsol)

Data for Mg3TiOs after structural relaxation. Values from VASP.

The structure in Quantum ESPRESSO input format:
```
&SYSTEM
  ibrav = 0, nat = 5, ntyp = 3
/
ATOMIC_SPECIES
Mg 24.30 Mg.upf
Os 190.23 Os.upf
Ti 47.87 Ti.upf
ATOMIC_POSITIONS crystal
Mg 0.000 0.500 0.000
Mg 0.000 0.000 0.500
Mg 0.500 0.000 0.000
Os 0.000 0.000 0.000
Ti 0.500 0.500 0.500
CELL_PARAMETERS angstrom
4.879 0.000 0.000
0.000 4.879 0.000
0.000 0.000 4.879
```

Computed properties:
* space group: Pm-3m (221)
* Fermi-level density of states: 6.322 states/eV per cell
* energy of formation: 0.950 eV per atom

# 16
## Mg2TlOs (PBEsol)

Data for Mg2TlOs after structural relaxation. Values from VASP.

The structure in Quantum ESPRESSO input format:
```
&SYSTEM
  ibrav = 0, nat = 4, ntyp = 3
/
ATOMIC_SPECIES
Mg 24.30 Mg.upf
Os 190.23 Os.upf
Tl 204.38 Tl.upf
ATOMIC_POSITIONS crystal
Mg 0.769 0.769 0.537
Mg 0.231 0.231 0.463
Os 0.500 0.000 0.000
Tl 0.000 0.500 0.000
CELL_PARAMETERS angstrom
3.420 0.000 0.000
0.000 4.518 0.000
-1.710 -2.259 4.635
```

Computed properties:
* space group: Immm (71)
* Fermi-level density of states: 1.179 states/eV per cell
* energy of formation: 0.305 eV per atom
* relative energy among the computed polymorphs: 0.043 eV per atom

# 17
## Mg2TlOs (PBEsol)

Data for Mg2TlOs after structural relaxation. Values from VASP.

The structure in Quantum ESPRESSO input format:
```
&SYSTEM
  ibrav = 0, nat = 4, ntyp = 3
/
ATOMIC_SPECIES
Mg 24.30 Mg.upf
Os 190.23 Os.upf
Tl 204.38 Tl.upf
ATOMIC_POSITIONS crystal
Mg 0.000 0.000 0.000
Mg 0.750 0.250 0.500
Os 0.500 0.500 0.000
Tl 0.250 0.750 0.500
CELL_PARAMETERS angstrom
4.039 0.000 0.000
0.000 4.039 0.000
-2.019 -2.019 4.291
```

Computed properties:
* space group: I-4m2 (119)
* Fermi-level density of states: 2.551 states/eV per cell
* energy of formation: 0.263 eV per atom
* relative energy among the computed polymorphs: 0.000 eV per atom

# 18
## Mg2TlOs (PBEsol)

Data for Mg2TlOs after structural relaxation. Values from VASP.

The structure in Quantum ESPRESSO input format:
```
&SYSTEM
  ibrav = 0, nat = 4, ntyp = 3
/
ATOMIC_SPECIES
Mg 24.30 Mg.upf
Os 190.23 Os.upf
Tl 204.38 Tl.upf
ATOMIC_POSITIONS crystal
Mg 0.000 0.000 0.006
Mg 0.500 0.500 0.278
Os 0.000 0.000 0.479
Tl 0.500 0.500 0.736
CELL_PARAMETERS angstrom
-2.195 -2.237 -1.468
-0.466 -1.549 3.057
-4.607 3.738 1.192
```

Computed properties:
* space group: P4mm (99)
* Fermi-level density of states: 1.884 states/eV per cell
* energy of formation: 0.343 eV per atom
* relative energy among the computed polymorphs: 0.080 eV per atom

# 19
## Mg4OsW (PBEsol)

Data for Mg4OsW after structural relaxation. Values from VASP.

The structure in Quantum ESPRESSO input format:
```
&SYSTEM
  ibrav = 0, nat = 6, ntyp = 3
/
ATOMIC_SPECIES
Mg 24.30 Mg.upf
Os 190.23 Os.upf
W 183.84 W.upf
ATOMIC_POSITIONS crystal
Mg 0.375 0.375 0.375
Mg 0.375 0.375 0.876
Mg 0.876 0.375 0.375
Mg 0.375 0.876 0.375
Os 0.750 0.750 0.750
W 0.000 0.000 0.000
CELL_PARAMETERS angstrom
-0.465 3.708 -3.579
-3.692 3.595 0.464
1.272 4.882 1.152
```

Computed properties:
* space group: F-43m (216)
* Fermi-level density of states: 4.018 states/eV per cell
* energy of formation: 0.850 eV per atom

# 20
## Mg2OsW (PBEsol)

Data for Mg2OsW after structural relaxation. Values from VASP.

The structure in Quantum ESPRESSO input format:
```
&SYSTEM
  ibrav = 0, nat = 4, ntyp = 3
/
ATOMIC_SPECIES
Mg 24.30 Mg.upf
Os 190.23 Os.upf
W 183.84 W.upf
ATOMIC_POSITIONS crystal
Mg 0.000 0.500 0.000
Mg 0.500 0.000 0.000
Os 0.500 0.500 0.500
W 0.000 0.000 0.500
CELL_PARAMETERS angstrom
3.758 0.000 0.000
0.000 3.758 0.000
0.000 0.000 4.507
```

Computed properties:
* space group: P4/mmm (123)
* Fermi-level density of states: 2.368 states/eV per cell
* energy of formation: 0.386 eV per atom
* relative energy among the computed polymorphs: 0.024 eV per atom